*one*
First-principles (PBE-GGA) data for a relaxed VSn3Se crystal, as listed in Alexandria.

Structure (POSCAR):
```
VSn3Se
1.0
5.4332 0.0000 0.0000
0.0000 5.4332 0.0000
0.0000 0.0000 5.4332
V Sn Se
1 3 1
Cartesian
0.0000 0.0000 0.0000 V
0.0000 2.7166 2.7166 Sn
2.7166 0.0000 2.7166 Sn
2.7166 2.7166 0.0000 Sn
2.7166 2.7166 2.7166 Se
```

Computed properties:
total moment: 0.699 μB/atom
density of states at the Fermi level: 8.6 states/eV per cell

***

*two*
First-principles (PBE-GGA) data for a relaxed VSn3Se crystal, as listed in Alexandria.

Structure (POSCAR):
```
VSn3Se
1.0
5.1909 0.0000 0.0000
0.0000 5.1909 0.0000
0.0000 0.0000 5.1909
V Sn Se
1 3 1
Cartesian
0.0000 0.0000 0.0000 V
0.0000 0.0000 2.5954 Sn
0.0000 2.5954 0.0000 Sn
2.5954 0.0000 0.0000 Sn
2.5954 2.5954 2.5954 Se
```

Computed properties:
total moment: 0.515 μB/atom
density of states at the Fermi level: 6.6 states/eV per cell

***

Which one sits at the bottom of the stability order? *one* does.

***

*one*
First-principles (PBE-GGA) data for a relaxed YSnSe3 crystal, as listed in Alexandria.

Structure (POSCAR):
```
YSnSe3
1.0
5.4373 0.0000 0.0000
0.0000 5.4373 0.0000
0.0000 0.0000 5.4373
Y Sn Se
1 1 3
Cartesian
0.0000 0.0000 0.0000 Y
2.7187 2.7187 2.7187 Sn
0.0000 0.0000 2.7187 Se
0.0000 2.7187 0.0000 Se
2.7187 0.0000 0.0000 Se
```

Computed properties:
total moment: 0.000 μB/atom
density of states at the Fermi level: 2.7 states/eV per cell

***

*two*
First-principles (PBE-GGA) data for a relaxed YSnSe3 crystal, as listed in Alexandria.

Structure (POSCAR):
```
YSnSe3
1.0
6.9557 0.0000 0.0000
-3.4778 6.0238 0.0000
0.0000 0.0000 7.0537
Y Sn Se
2 2 6
Cartesian
0.0000 0.0000 0.0000 Y
0.0000 0.0000 3.5269 Y
3.4778 2.0079 0.0000 Sn
3.4778 2.0079 3.5269 Sn
2.2904 0.0285 1.7634 Se
1.1699 1.9693 5.2903 Se
4.6653 0.0285 5.2903 Se
2.3573 4.0260 1.7634 Se
5.7858 1.9693 1.7634 Se
4.5983 4.0260 5.2903 Se
```

Computed properties:
total moment: 0.000 μB/atom
density of states at the Fermi level: 4.8 states/eV per cell

***

*three*
First-principles (PBE-GGA) data for a relaxed YSnSe3 crystal, as listed in Alexandria.

Structure (POSCAR):
```
YSnSe3
1.0
5.2210 0.0000 0.0000
0.0000 5.2210 0.0000
0.0000 0.0000 5.2210
Y Sn Se
1 1 3
Cartesian
0.0000 0.0000 0.0000 Y
2.6105 2.6105 2.6105 Sn
0.0000 2.6105 2.6105 Se
2.6105 0.0000 2.6105 Se
2.6105 2.6105 0.0000 Se
```

Computed properties:
total moment: 0.000 μB/atom
density of states at the Fermi level: 1.0 states/eV per cell

***

Which one sits at the bottom of the stability order? *three* does.

***

*one*
First-principles (PBE-GGA) data for a relaxed Y2SnSe2 crystal, as listed in Alexandria.

Structure (POSCAR):
```
Y2SnSe2
1.0
5.4848 0.0000 0.0000
0.0000 5.4848 0.0000
0.0000 0.0000 9.1325
Y Sn Se
4 2 4
Cartesian
0.0000 2.7424 2.2831 Y
0.0000 2.7424 6.8494 Y
2.7424 0.0000 2.2831 Y
2.7424 0.0000 6.8494 Y
0.0000 0.0000 0.0000 Sn
2.7424 2.7424 4.5663 Sn
0.0000 0.0000 3.0041 Se
0.0000 0.0000 6.1284 Se
2.7424 2.7424 1.5622 Se
2.7424 2.7424 7.5704 Se
```

Computed properties:
total moment: 0.000 μB/atom
density of states at the Fermi level: 0.7 states/eV per cell

***

*two*
First-principles (PBE-GGA) data for a relaxed Y2SnSe2 crystal, as listed in Alexandria.

Structure (POSCAR):
```
Y2SnSe2
1.0
8.2374 0.0000 0.0000
0.0000 8.2374 0.0000
0.0000 0.0000 3.6243
Y Sn Se
4 2 4
Cartesian
1.3393 2.7794 0.0000 Y
2.7794 6.8981 0.0000 Y
5.4580 1.3393 0.0000 Y
6.8981 5.4580 0.0000 Y
0.0000 0.0000 1.8122 Sn
4.1187 4.1187 1.8122 Sn
1.1144 5.2331 1.8122 Se
3.0043 1.1144 1.8122 Se
5.2331 7.1230 1.8122 Se
7.1230 3.0043 1.8122 Se
```

Computed properties:
total moment: 0.000 μB/atom
density of states at the Fermi level: 7.6 states/eV per cell

***

Which one sits at the bottom of the stability order? *two* does.